(1)
This record from the Alexandria database describes a geometry-optimized Li2Co3SbO8 structure. The functional is GGA+U.

a b c (Å): 5.763 5.763 9.406
angles (deg): 90.00 90.00 120.00
Positions (direct):
Li 0.000 0.000 0.000
Li 0.000 0.000 0.500
Li 0.333 0.667 0.407
Li 0.667 0.333 0.907
Co 0.170 0.340 0.721
Co 0.170 0.830 0.721
Co 0.340 0.170 0.221
Co 0.660 0.830 0.721
Co 0.830 0.170 0.221
Co 0.830 0.660 0.221
Sb 0.333 0.667 0.996
Sb 0.667 0.333 0.496
O 0.000 0.000 0.312
O 0.000 0.000 0.812
O 0.034 0.517 0.842
O 0.161 0.322 0.104
O 0.161 0.839 0.104
O 0.322 0.161 0.604
O 0.333 0.667 0.619
O 0.483 0.517 0.842
O 0.483 0.966 0.842
O 0.517 0.034 0.342
O 0.517 0.483 0.342
O 0.667 0.333 0.119
O 0.678 0.839 0.104
O 0.839 0.161 0.604
O 0.839 0.678 0.604
O 0.966 0.483 0.342

Computed properties:
D(E_F), states/eV/atom: 0.000
Energy, eV/atom: -5.863

***

(2)
This record from the Alexandria database describes a geometry-optimized Li4Co3Sb5O16 structure. The functional is GGA+U.

a b c (Å): 10.513 6.125 10.802
angles (deg): 90.00 90.21 90.00
Positions (direct):
Li 0.000 0.000 0.000
Li 0.005 0.500 0.505
Li 0.151 0.000 0.681
Li 0.174 0.500 0.181
Li 0.523 0.000 0.007
Li 0.533 0.500 0.536
Li 0.602 0.500 0.854
Li 0.615 0.000 0.349
Co 0.299 0.500 0.683
Co 0.307 0.000 0.176
Co 0.782 0.247 0.587
Co 0.782 0.753 0.587
Co 0.787 0.253 0.087
Co 0.787 0.747 0.087
Sb 0.296 0.252 0.920
Sb 0.296 0.748 0.920
Sb 0.309 0.246 0.430
Sb 0.309 0.754 0.430
Sb 0.525 0.000 0.669
Sb 0.537 0.500 0.165
Sb 0.774 0.000 0.834
Sb 0.785 0.500 0.332
Sb 0.981 0.500 0.821
Sb 0.987 0.000 0.320
O 0.191 0.000 0.992
O 0.197 0.500 0.000
O 0.198 0.261 0.766
O 0.198 0.739 0.766
O 0.204 0.500 0.508
O 0.207 0.000 0.507
O 0.218 0.242 0.273
O 0.218 0.758 0.273
O 0.405 0.500 0.850
O 0.406 0.221 0.067
O 0.406 0.779 0.067
O 0.414 0.000 0.838
O 0.419 0.000 0.362
O 0.419 0.252 0.593
O 0.419 0.748 0.593
O 0.423 0.500 0.387
O 0.642 0.219 0.758
O 0.642 0.781 0.758
O 0.654 0.000 0.533
O 0.664 0.276 0.257
O 0.664 0.724 0.257
O 0.665 0.500 0.026
O 0.698 0.000 0.003
O 0.703 0.500 0.501
O 0.866 0.000 0.673
O 0.879 0.500 0.172
O 0.889 0.236 0.905
O 0.889 0.764 0.905
O 0.894 0.500 0.655
O 0.898 0.263 0.410
O 0.898 0.737 0.410
O 0.900 0.000 0.155

Computed properties:
D(E_F), states/eV/atom: 0.000
Energy, eV/atom: -5.802

***

(3)
This record from the Alexandria database describes a geometry-optimized Li4Co5SbO12 structure. The functional is GGA+U.

a b c (Å): 5.028 5.028 10.229
angles (deg): 92.59 92.59 120.09
Positions (direct):
Li 0.036 0.373 0.205
Li 0.373 0.036 0.205
Li 0.627 0.964 0.795
Li 0.964 0.627 0.795
Co 0.000 0.000 0.000
Co 0.165 0.835 0.500
Co 0.335 0.665 0.000
Co 0.665 0.335 0.000
Co 0.835 0.165 0.500
Sb 0.500 0.500 0.500
O 0.025 0.685 0.098
O 0.135 0.480 0.399
O 0.171 0.171 0.598
O 0.315 0.975 0.902
O 0.345 0.345 0.100
O 0.480 0.135 0.399
O 0.520 0.865 0.601
O 0.655 0.655 0.900
O 0.685 0.025 0.098
O 0.829 0.829 0.402
O 0.865 0.520 0.601
O 0.975 0.315 0.902

Computed properties:
Energy, eV/atom: -5.745

***

(4)
This record from the Alexandria database describes a geometry-optimized LiCo5SbO8 structure. The functional is GGA+U.

a b c (Å): 6.273 6.273 6.126
angles (deg): 118.84 118.84 58.21
Positions (direct):
Li 0.000 0.000 0.000
Co 0.251 0.251 0.286
Co 0.337 0.850 0.659
Co 0.466 0.466 0.037
Co 0.786 0.786 0.583
Co 0.850 0.337 0.659
Sb 0.837 0.837 0.156
O 0.060 0.624 0.905
O 0.065 0.065 0.370
O 0.070 0.632 0.415
O 0.123 0.123 0.902
O 0.576 0.576 0.423
O 0.617 0.617 0.929
O 0.624 0.060 0.905
O 0.632 0.070 0.415

Computed properties:
Energy, eV/atom: -5.891

***

(5)
This record from the Alexandria database describes a geometry-optimized Li2Co3SbO8 structure. The functional is GGA+U.

a b c (Å): 5.895 5.895 5.895
angles (deg): 58.86 58.86 58.86
Positions (direct):
Li 0.127 0.127 0.127
Li 0.873 0.873 0.873
Co 0.000 0.500 0.500
Co 0.500 0.000 0.500
Co 0.500 0.500 0.000
Sb 0.500 0.500 0.500
O 0.257 0.257 0.715
O 0.257 0.715 0.257
O 0.266 0.266 0.266
O 0.285 0.743 0.743
O 0.715 0.257 0.257
O 0.734 0.734 0.734
O 0.743 0.285 0.743
O 0.743 0.743 0.285

Computed properties:
D(E_F), states/eV/atom: 0.000
Energy, eV/atom: -5.882

***

(6)
This record from the Alexandria database describes a geometry-optimized Li4Co3SbO8 structure. The functional is GGA+U.

a b c (Å): 6.009 6.009 6.026
angles (deg): 119.68 119.68 60.74
Positions (direct):
Li 0.000 0.000 0.000
Li 0.000 0.500 0.500
Li 0.500 0.000 0.500
Li 0.500 0.500 0.000
Co 0.000 0.000 0.500
Co 0.000 0.500 0.000
Co 0.500 0.000 0.000
Sb 0.500 0.500 0.500
O 0.226 0.226 0.738
O 0.260 0.736 0.734
O 0.263 0.263 0.257
O 0.264 0.740 0.266
O 0.736 0.260 0.734
O 0.737 0.737 0.743
O 0.740 0.264 0.266
O 0.774 0.774 0.262

Computed properties:
Energy, eV/atom: -5.704

***

(7)
This record from the Alexandria database describes a geometry-optimized Li4Co3Sn2Sb3O16 structure. The functional is GGA+U.

a b c (Å): 6.229 6.229 9.915
angles (deg): 90.67 90.67 59.67
Positions (direct):
Li 0.000 0.000 0.000
Li 0.010 0.010 0.520
Li 0.335 0.335 0.615
Li 0.671 0.671 0.094
Co 0.165 0.165 0.288
Co 0.333 0.821 0.791
Co 0.821 0.333 0.791
Sn 0.316 0.316 0.000
Sn 0.651 0.651 0.525
Sb 0.164 0.658 0.287
Sb 0.658 0.164 0.287
Sb 0.823 0.823 0.788
O 0.036 0.486 0.163
O 0.143 0.666 0.908
O 0.151 0.151 0.908
O 0.316 0.830 0.402
O 0.336 0.336 0.398
O 0.480 0.480 0.164
O 0.486 0.036 0.163
O 0.511 0.511 0.660
O 0.523 0.964 0.659
O 0.666 0.143 0.908
O 0.670 0.670 0.896
O 0.830 0.316 0.402
O 0.835 0.835 0.400
O 0.964 0.523 0.659
O 0.985 0.985 0.700
O 0.993 0.993 0.188

Computed properties:
D(E_F), states/eV/atom: 0.042
Energy, eV/atom: -5.912

***

(8)
This record from the Alexandria database describes a geometry-optimized Li4Co3Sn3Sb2O16 structure. The functional is GGA+U.

a b c (Å): 6.199 6.199 9.797
angles (deg): 90.71 90.71 59.56
Positions (direct):
Li 0.000 0.000 0.000
Li 0.254 0.254 0.061
Li 0.580 0.580 0.546
Li 0.917 0.917 0.460
Co 0.080 0.080 0.736
Co 0.251 0.735 0.247
Co 0.735 0.251 0.247
Sn 0.075 0.571 0.748
Sn 0.571 0.075 0.748
Sn 0.739 0.739 0.240
Sb 0.237 0.237 0.464
Sb 0.569 0.569 0.974
O 0.076 0.076 0.368
O 0.077 0.568 0.367
O 0.243 0.743 0.861
O 0.244 0.244 0.857
O 0.391 0.391 0.613
O 0.394 0.950 0.608
O 0.426 0.876 0.097
O 0.429 0.429 0.105
O 0.568 0.077 0.367
O 0.581 0.581 0.347
O 0.730 0.730 0.853
O 0.743 0.243 0.861
O 0.876 0.426 0.097
O 0.907 0.907 0.650
O 0.908 0.908 0.157
O 0.950 0.394 0.608

Computed properties:
D(E_F), states/eV/atom: 0.002
Energy, eV/atom: -5.955

***

(9)
This record from the Alexandria database describes a geometry-optimized Li4Ti3Co3Sb2O16 structure. The functional is GGA+U.

a b c (Å): 6.028 6.028 9.752
angles (deg): 90.84 90.84 59.29
Positions (direct):
Li 0.000 0.000 0.000
Li 0.011 0.011 0.515
Li 0.344 0.344 0.598
Li 0.672 0.672 0.089
Ti 0.169 0.664 0.281
Ti 0.664 0.169 0.281
Ti 0.829 0.829 0.776
Co 0.177 0.177 0.286
Co 0.348 0.834 0.785
Co 0.834 0.348 0.785
Sb 0.332 0.332 0.002
Sb 0.664 0.664 0.511
O 0.046 0.499 0.153
O 0.163 0.660 0.900
O 0.164 0.164 0.913
O 0.335 0.830 0.396
O 0.354 0.354 0.390
O 0.483 0.483 0.156
O 0.499 0.046 0.153
O 0.524 0.524 0.645
O 0.535 0.972 0.640
O 0.660 0.163 0.900
O 0.686 0.686 0.892
O 0.830 0.335 0.396
O 0.833 0.833 0.389
O 0.972 0.535 0.640
O 0.995 0.995 0.701
O 0.997 0.997 0.193

Computed properties:
Energy, eV/atom: -6.820

***

(10)
This record from the Alexandria database describes a geometry-optimized Li4Ti2Co3Sb3O16 structure. The functional is GGA+U.

a b c (Å): 6.165 6.165 9.728
angles (deg): 90.80 90.80 59.66
Positions (direct):
Li 0.000 0.000 0.000
Li 0.011 0.011 0.521
Li 0.339 0.339 0.418
Li 0.690 0.690 0.908
Ti 0.377 0.377 0.988
Ti 0.696 0.696 0.520
Co 0.195 0.681 0.727
Co 0.681 0.195 0.727
Co 0.841 0.841 0.230
Sb 0.193 0.193 0.732
Sb 0.348 0.841 0.233
Sb 0.841 0.348 0.233
O 0.011 0.011 0.334
O 0.025 0.025 0.815
O 0.063 0.491 0.864
O 0.166 0.166 0.120
O 0.186 0.681 0.109
O 0.349 0.349 0.622
O 0.361 0.865 0.610
O 0.491 0.063 0.864
O 0.505 0.505 0.869
O 0.523 0.523 0.355
O 0.526 0.965 0.360
O 0.673 0.673 0.119
O 0.681 0.186 0.109
O 0.846 0.846 0.605
O 0.865 0.361 0.610
O 0.965 0.526 0.360

Computed properties:
D(E_F), states/eV/atom: 0.096
Energy, eV/atom: -6.478

***

(11)
This record from the Alexandria database describes a geometry-optimized Li4V3Co2Sb3O16 structure. The functional is GGA+U.

a b c (Å): 6.151 6.151 9.887
angles (deg): 90.78 90.78 59.72
Positions (direct):
Li 0.000 0.000 0.000
Li 0.009 0.009 0.514
Li 0.330 0.330 0.627
Li 0.669 0.669 0.104
V 0.166 0.166 0.289
V 0.330 0.823 0.790
V 0.823 0.330 0.790
Co 0.321 0.321 0.982
Co 0.646 0.646 0.530
Sb 0.166 0.660 0.289
Sb 0.660 0.166 0.289
Sb 0.822 0.822 0.788
O 0.028 0.485 0.180
O 0.146 0.677 0.903
O 0.150 0.150 0.899
O 0.308 0.839 0.398
O 0.337 0.337 0.403
O 0.483 0.483 0.175
O 0.485 0.028 0.180
O 0.510 0.510 0.674
O 0.510 0.959 0.670
O 0.666 0.666 0.902
O 0.677 0.146 0.903
O 0.839 0.308 0.398
O 0.845 0.845 0.402
O 0.959 0.510 0.670
O 0.986 0.986 0.691
O 0.993 0.993 0.184

Computed properties:
D(E_F), states/eV/atom: 0.066
Energy, eV/atom: -6.415

***

(12)
This record from the Alexandria database describes a geometry-optimized Li4V3Co3Sb2O16 structure. The functional is GGA+U.

a b c (Å): 5.965 5.985 9.740
angles (deg): 90.88 90.06 119.64
Positions (direct):
Li 0.000 0.000 0.000
Li 0.008 0.004 0.511
Li 0.340 0.684 0.596
Li 0.678 0.344 0.088
V 0.179 0.833 0.274
V 0.663 0.824 0.284
V 0.827 0.655 0.773
Co 0.175 0.347 0.286
Co 0.346 0.179 0.785
Co 0.834 0.179 0.784
Sb 0.334 0.669 0.000
Sb 0.659 0.326 0.510
O 0.003 0.985 0.193
O 0.049 0.534 0.151
O 0.165 0.832 0.902
O 0.168 0.329 0.910
O 0.329 0.166 0.399
O 0.340 0.703 0.388
O 0.482 0.969 0.154
O 0.508 0.549 0.157
O 0.522 0.044 0.645
O 0.531 0.504 0.642
O 0.667 0.831 0.904
O 0.691 0.378 0.888
O 0.819 0.150 0.393
O 0.831 0.665 0.391
O 0.970 0.501 0.639
O 0.989 0.979 0.698

Computed properties:
Energy, eV/atom: -6.462